1.
# PBE Ac2TlIrO8, optimized geometry
# Spin magnetization   1.69 μB per formula unit
# E_tot   -0.24432 Ha/atom
data_Ac2TlIrO8
_space_group_name_H-M_alt 'P 1'
_space_group_IT_number 1
_cell_length_a 4.441
_cell_length_b 5.404
_cell_length_c 7.516
_cell_angle_alpha 90.74
_cell_angle_beta 94.46
_cell_angle_gamma 93.07
loop_
_space_group_symop_operation_xyz
'x,y,z'
loop_
_atom_site_label
_atom_site_type_symbol
_atom_site_fract_x
_atom_site_fract_y
_atom_site_fract_z
Ac1 Ac 0.159 0.498 0.269
Ac2 Ac 0.841 0.502 0.731
Tl1 Tl 0.500 0.000 0.000
Ir1 Ir 0.500 0.000 0.500
O1 O 0.232 0.034 0.283
O2 O 0.245 0.677 0.967
O3 O 0.274 0.705 0.569
O4 O 0.286 0.212 0.644
O5 O 0.714 0.788 0.356
O6 O 0.726 0.295 0.431
O7 O 0.755 0.323 0.033
O8 O 0.768 0.966 0.717

=====

2.
# PBE Ac2TmIr3O12, optimized geometry
# Spin magnetization   0.00 μB per formula unit
# E_tot   -0.26690 Ha/atom
data_Ac2TmIr3O12
_space_group_name_H-M_alt 'P 1'
_space_group_IT_number 1
_cell_length_a 6.766
_cell_length_b 6.766
_cell_length_c 6.766
_cell_angle_alpha 64.44
_cell_angle_beta 64.44
_cell_angle_gamma 64.44
loop_
_space_group_symop_operation_xyz
'x,y,z'
loop_
_atom_site_label
_atom_site_type_symbol
_atom_site_fract_x
_atom_site_fract_y
_atom_site_fract_z
Ac1 Ac 0.117 0.117 0.117
Ac2 Ac 0.883 0.883 0.883
Tm1 Tm 0.500 0.500 0.500
Ir1 Ir 0.000 0.500 0.500
Ir2 Ir 0.500 0.000 0.500
Ir3 Ir 0.500 0.500 0.000
O1 O 0.092 0.637 0.637
O2 O 0.206 0.206 0.635
O3 O 0.206 0.635 0.206
O4 O 0.363 0.363 0.908
O5 O 0.363 0.908 0.363
O6 O 0.365 0.794 0.794
O7 O 0.635 0.206 0.206
O8 O 0.637 0.092 0.637
O9 O 0.637 0.637 0.092
O10 O 0.794 0.365 0.794
O11 O 0.794 0.794 0.365
O12 O 0.908 0.363 0.363

=====

3.
# PBE Ac2TmIrO6, optimized geometry
# Spin magnetization   0.00 μB per formula unit
# E_tot   -0.28360 Ha/atom
data_Ac2TmIrO6
_space_group_name_H-M_alt 'P 1'
_space_group_IT_number 1
_cell_length_a 10.863
_cell_length_b 10.863
_cell_length_c 10.863
_cell_angle_alpha 30.96
_cell_angle_beta 30.96
_cell_angle_gamma 30.96
loop_
_space_group_symop_operation_xyz
'x,y,z'
loop_
_atom_site_label
_atom_site_type_symbol
_atom_site_fract_x
_atom_site_fract_y
_atom_site_fract_z
Ac1 Ac 0.141 0.141 0.141
Ac2 Ac 0.301 0.301 0.301
Ac3 Ac 0.699 0.699 0.699
Ac4 Ac 0.859 0.859 0.859
Tm1 Tm 0.413 0.413 0.413
Tm2 Tm 0.587 0.587 0.587
Ir1 Ir 0.000 0.000 0.000
Ir2 Ir 0.500 0.500 0.500
O1 O 0.120 0.633 0.633
O2 O 0.206 0.206 0.696
O3 O 0.206 0.696 0.206
O4 O 0.304 0.794 0.794
O5 O 0.367 0.367 0.880
O6 O 0.367 0.880 0.367
O7 O 0.633 0.120 0.633
O8 O 0.633 0.633 0.120
O9 O 0.696 0.206 0.206
O10 O 0.794 0.304 0.794
O11 O 0.794 0.794 0.304
O12 O 0.880 0.367 0.367

=====

4.
# PBE Ac2ZnIrO6, optimized geometry
# Spin magnetization   0.95 μB per formula unit
# E_tot   -0.25560 Ha/atom
data_Ac2ZnIrO6
_space_group_name_H-M_alt 'P 1'
_space_group_IT_number 1
_cell_length_a 5.721
_cell_length_b 5.721
_cell_length_c 5.721
_cell_angle_alpha 60.00
_cell_angle_beta 60.00
_cell_angle_gamma 60.00
loop_
_space_group_symop_operation_xyz
'x,y,z'
loop_
_atom_site_label
_atom_site_type_symbol
_atom_site_fract_x
_atom_site_fract_y
_atom_site_fract_z
Ac1 Ac 0.250 0.250 0.250
Ac2 Ac 0.750 0.750 0.750
Zn1 Zn 0.000 0.000 0.000
Ir1 Ir 0.500 0.500 0.500
O1 O 0.252 0.252 0.748
O2 O 0.252 0.748 0.252
O3 O 0.252 0.748 0.748
O4 O 0.748 0.252 0.252
O5 O 0.748 0.252 0.748
O6 O 0.748 0.748 0.252

=====

5.
# PBE AcZnIrO6, optimized geometry
# Spin magnetization   0.00 μB per formula unit
# E_tot   -0.22978 Ha/atom
data_AcZnIrO6
_space_group_name_H-M_alt 'P 1'
_space_group_IT_number 1
_cell_length_a 5.803
_cell_length_b 5.803
_cell_length_c 7.929
_cell_angle_alpha 90.00
_cell_angle_beta 90.00
_cell_angle_gamma 120.00
loop_
_space_group_symop_operation_xyz
'x,y,z'
loop_
_atom_site_label
_atom_site_type_symbol
_atom_site_fract_x
_atom_site_fract_y
_atom_site_fract_z
Ac1 Ac 0.333 0.667 0.250
Ac2 Ac 0.667 0.333 0.750
Zn1 Zn 0.000 0.000 0.000
Zn2 Zn 0.000 0.000 0.500
Ir1 Ir 0.333 0.667 0.750
Ir2 Ir 0.667 0.333 0.250
O1 O 0.077 0.378 0.611
O2 O 0.077 0.699 0.889
O3 O 0.301 0.378 0.889
O4 O 0.301 0.923 0.611
O5 O 0.378 0.077 0.111
O6 O 0.378 0.301 0.389
O7 O 0.622 0.699 0.611
O8 O 0.622 0.923 0.889
O9 O 0.699 0.077 0.389
O10 O 0.699 0.622 0.111
O11 O 0.923 0.301 0.111
O12 O 0.923 0.622 0.389

=====

6.
# PBE AcZr2IrO8, optimized geometry
# Spin magnetization   0.00 μB per formula unit
# E_tot   -0.30358 Ha/atom
data_AcZr2IrO8
_space_group_name_H-M_alt 'P 1'
_space_group_IT_number 1
_cell_length_a 5.011
_cell_length_b 6.759
_cell_length_c 5.014
_cell_angle_alpha 90.00
_cell_angle_beta 91.63
_cell_angle_gamma 90.00
loop_
_space_group_symop_operation_xyz
'x,y,z'
loop_
_atom_site_label
_atom_site_type_symbol
_atom_site_fract_x
_atom_site_fract_y
_atom_site_fract_z
Ac1 Ac 0.000 0.000 0.000
Zr1 Zr 0.500 0.255 0.500
Zr2 Zr 0.500 0.745 0.500
Ir1 Ir 0.000 0.500 0.000
O1 O 0.208 0.299 0.207
O2 O 0.208 0.701 0.207
O3 O 0.281 0.500 0.718
O4 O 0.328 0.000 0.669
O5 O 0.672 0.000 0.331
O6 O 0.719 0.500 0.282
O7 O 0.792 0.299 0.793
O8 O 0.792 0.701 0.793

=====

7.
# PBE AcZrIrO6, optimized geometry
# Spin magnetization   2.01 μB per formula unit
# E_tot   -0.29422 Ha/atom
data_AcZrIrO6
_space_group_name_H-M_alt 'P 1'
_space_group_IT_number 1
_cell_length_a 5.420
_cell_length_b 5.420
_cell_length_c 10.797
_cell_angle_alpha 90.00
_cell_angle_beta 90.00
_cell_angle_gamma 120.00
loop_
_space_group_symop_operation_xyz
'x,y,z'
loop_
_atom_site_label
_atom_site_type_symbol
_atom_site_fract_x
_atom_site_fract_y
_atom_site_fract_z
Ac1 Ac 0.000 0.000 0.000
Ac2 Ac 0.000 0.000 0.500
Zr1 Zr 0.333 0.667 0.250
Zr2 Zr 0.667 0.333 0.750
Ir1 Ir 0.333 0.667 0.750
Ir2 Ir 0.667 0.333 0.250
O1 O 0.018 0.375 0.646
O2 O 0.018 0.643 0.854
O3 O 0.357 0.375 0.854
O4 O 0.357 0.982 0.646
O5 O 0.375 0.018 0.146
O6 O 0.375 0.357 0.354
O7 O 0.625 0.643 0.646
O8 O 0.625 0.982 0.854
O9 O 0.643 0.018 0.354
O10 O 0.643 0.625 0.146
O11 O 0.982 0.357 0.146
O12 O 0.982 0.625 0.354

=====

8.
# PBE Ac6IrOs2, optimized geometry
# Spin magnetization   0.00 μB per formula unit
# E_tot   -0.23592 Ha/atom
# Calculated formation energy   -201 meV per atom
data_Ac6IrOs2
_space_group_name_H-M_alt 'P 1'
_space_group_IT_number 1
_cell_length_a 9.371
_cell_length_b 9.371
_cell_length_c 8.282
_cell_angle_alpha 97.13
_cell_angle_beta 97.13
_cell_angle_gamma 27.37
loop_
_space_group_symop_operation_xyz
'x,y,z'
loop_
_atom_site_label
_atom_site_type_symbol
_atom_site_fract_x
_atom_site_fract_y
_atom_site_fract_z
Ac1 Ac 0.005 0.005 0.243
Ac2 Ac 0.330 0.330 0.428
Ac3 Ac 0.335 0.335 0.906
Ac4 Ac 0.665 0.665 0.094
Ac5 Ac 0.670 0.670 0.572
Ac6 Ac 0.995 0.995 0.757
Ir1 Ir 0.500 0.500 0.000
Os1 Os 0.166 0.166 0.330
Os2 Os 0.834 0.834 0.670

=====

9.
# PBE Ac8IrOs2, optimized geometry
# Spin magnetization   0.00 μB per formula unit
# E_tot   -0.21960 Ha/atom
# Calculated formation energy   -140 meV per atom
data_Ac8IrOs2
_space_group_name_H-M_alt 'P 1'
_space_group_IT_number 1
_cell_length_a 8.044
_cell_length_b 8.044
_cell_length_c 7.155
_cell_angle_alpha 90.34
_cell_angle_beta 90.34
_cell_angle_gamma 65.91
loop_
_space_group_symop_operation_xyz
'x,y,z'
loop_
_atom_site_label
_atom_site_type_symbol
_atom_site_fract_x
_atom_site_fract_y
_atom_site_fract_z
Ac1 Ac 0.121 0.121 0.163
Ac2 Ac 0.131 0.610 0.335
Ac3 Ac 0.369 0.369 0.825
Ac4 Ac 0.390 0.869 0.665
Ac5 Ac 0.610 0.131 0.335
Ac6 Ac 0.631 0.631 0.175
Ac7 Ac 0.869 0.390 0.665
Ac8 Ac 0.879 0.879 0.837
Ir1 Ir 0.000 0.000 0.500
Os1 Os 0.235 0.235 0.512
Os2 Os 0.765 0.765 0.488

=====

10.
# PBE Ac8Ir3Os, optimized geometry
# Spin magnetization   0.00 μB per formula unit
# E_tot   -0.23288 Ha/atom
# Calculated formation energy   -447 meV per atom
data_Ac8Ir3Os
_space_group_name_H-M_alt 'P 1'
_space_group_IT_number 1
_cell_length_a 8.399
_cell_length_b 8.399
_cell_length_c 8.399
_cell_angle_alpha 63.55
_cell_angle_beta 63.55
_cell_angle_gamma 63.55
loop_
_space_group_symop_operation_xyz
'x,y,z'
loop_
_atom_site_label
_atom_site_type_symbol
_atom_site_fract_x
_atom_site_fract_y
_atom_site_fract_z
Ac1 Ac 0.243 0.243 0.243
Ac2 Ac 0.248 0.742 0.742
Ac3 Ac 0.258 0.258 0.752
Ac4 Ac 0.258 0.752 0.258
Ac5 Ac 0.742 0.248 0.742
Ac6 Ac 0.742 0.742 0.248
Ac7 Ac 0.752 0.258 0.258
Ac8 Ac 0.757 0.757 0.757
Ir1 Ir 0.000 0.000 0.500
Ir2 Ir 0.000 0.500 0.000
Ir3 Ir 0.500 0.000 0.000
Os1 Os 0.500 0.500 0.500

=====

11.
# PBE Ac6Ir2Os, optimized geometry
# Spin magnetization   0.00 μB per formula unit
# E_tot   -0.23347 Ha/atom
# Calculated formation energy   -397 meV per atom
data_Ac6Ir2Os
_space_group_name_H-M_alt 'P 1'
_space_group_IT_number 1
_cell_length_a 9.464
_cell_length_b 9.464
_cell_length_c 8.371
_cell_angle_alpha 98.25
_cell_angle_beta 98.25
_cell_angle_gamma 27.04
loop_
_space_group_symop_operation_xyz
'x,y,z'
loop_
_atom_site_label
_atom_site_type_symbol
_atom_site_fract_x
_atom_site_fract_y
_atom_site_fract_z
Ac1 Ac 0.002 0.002 0.237
Ac2 Ac 0.329 0.329 0.424
Ac3 Ac 0.339 0.339 0.906
Ac4 Ac 0.661 0.661 0.094
Ac5 Ac 0.671 0.671 0.576
Ac6 Ac 0.998 0.998 0.763
Ir1 Ir 0.167 0.167 0.338
Ir2 Ir 0.833 0.833 0.662
Os1 Os 0.500 0.500 0.000

=====

12.
# PBE Ac9Ir3Os, optimized geometry
# Spin magnetization   0.00 μB per formula unit
# E_tot   -0.22425 Ha/atom
# Calculated formation energy   -349 meV per atom
data_Ac9Ir3Os
_space_group_name_H-M_alt 'P 1'
_space_group_IT_number 1
_cell_length_a 7.316
_cell_length_b 11.050
_cell_length_c 12.139
_cell_angle_alpha 90.00
_cell_angle_beta 95.80
_cell_angle_gamma 90.00
loop_
_space_group_symop_operation_xyz
'x,y,z'
loop_
_atom_site_label
_atom_site_type_symbol
_atom_site_fract_x
_atom_site_fract_y
_atom_site_fract_z
Ac1 Ac 0.118 0.250 0.192
Ac2 Ac 0.147 0.571 0.381
Ac3 Ac 0.147 0.929 0.381
Ac4 Ac 0.232 0.250 0.872
Ac5 Ac 0.265 0.564 0.040
Ac6 Ac 0.265 0.936 0.040
Ac7 Ac 0.361 0.250 0.538
Ac8 Ac 0.371 0.581 0.720
Ac9 Ac 0.371 0.919 0.720
Ac10 Ac 0.629 0.081 0.280
Ac11 Ac 0.629 0.419 0.280
Ac12 Ac 0.639 0.750 0.462
Ac13 Ac 0.735 0.064 0.960
Ac14 Ac 0.735 0.436 0.960
Ac15 Ac 0.768 0.750 0.128
Ac16 Ac 0.853 0.071 0.619
Ac17 Ac 0.853 0.429 0.619
Ac18 Ac 0.882 0.750 0.808
Ir1 Ir 0.052 0.005 0.829
Ir2 Ir 0.052 0.495 0.829
Ir3 Ir 0.500 0.000 0.500
Ir4 Ir 0.500 0.500 0.500
Ir5 Ir 0.948 0.505 0.171
Ir6 Ir 0.948 0.995 0.171
Os1 Os 0.466 0.250 0.083
Os2 Os 0.534 0.750 0.917